Entry w
## CsCu2F6 (PBE)

Data for a relaxed structure of CsCu2F6.

a b c (Å): 7.3283 7.3283 7.3283
angles (deg): 60.00 60.00 60.00
Atoms (fractional coordinates):
F  0.3092  0.3092  0.6908
F  0.3092  0.6908  0.6908
F  0.5592  0.9408  0.5592
F  0.5592  0.5592  0.9408
Cu  0.6250  0.6250  0.1250
Cs  0.2500  0.2500  0.2500
F  0.9408  0.5592  0.9408
F  0.3092  0.6908  0.3092
F  0.6908  0.3092  0.3092
F  0.6908  0.6908  0.3092
F  0.9408  0.9408  0.5592
F  0.9408  0.5592  0.5592
F  0.5592  0.9408  0.9408
F  0.6908  0.3092  0.6908
Cu  0.6250  0.6250  0.6250
Cu  0.1250  0.6250  0.6250
Cs  0.0000  0.0000  0.0000
Cu  0.6250  0.1250  0.6250

Output
Total moment (μB per atom): 0.000

Entry x
## CsCu2F6 (PBE)

Data for a relaxed structure of CsCu2F6.

a b c (Å): 5.3302 5.3302 6.4982
angles (deg): 90.00 90.00 120.00
Last column: magnetic moment on the atom in μB.
Atoms (fractional coordinates):
F  0.0000  0.6183  0.3326  0.18
F  0.3817  0.0000  0.6674  0.18
F  0.0000  0.3817  0.6674  0.18
F  0.6183  0.0000  0.3326  0.18
F  0.6183  0.6183  0.6674  0.18
Cu  0.3333  0.6667  0.5000  0.93
Cu  0.6667  0.3333  0.5000  0.93
F  0.3817  0.3817  0.3326  0.18
Cs  0.0000  0.0000  0.0000  0.01

Output
Total moment (μB per atom): 0.333

We find entry w to be the most stable, with the next structure 3.5 kJ/mol of atoms higher.

Entry w
## CsCuF2 (PBE)

Data for a relaxed structure of CsCuF2.

a b c (Å): 5.3442 5.3442 7.0957
angles (deg): 67.88 67.88 90.00
Atoms (fractional coordinates):
F  0.3750  0.5201  0.7500
Cs  0.7500  0.2500  0.5000
Cu  0.2500  0.7500  0.5000
Cs  0.0000  0.0000  0.0000
Cu  0.5000  0.5000  0.0000
F  0.2701  0.6250  0.2500
F  0.4799  0.1250  0.2500
F  0.8750  0.7299  0.7500

Output
Total moment (μB per atom): 0.000

Entry x
## CsCuF2 (PBE)

Data for a relaxed structure of CsCuF2.

a b c (Å): 4.5923 4.5923 6.9840
angles (deg): 70.81 70.81 60.00
Last column: magnetic moment on the atom in μB.
Atoms (fractional coordinates):
Cs  0.5000  0.5000  0.5000  0.00
Cu  0.0000  0.0000  0.0000  0.12
F  0.9067  0.9067  0.2798  0.01
F  0.0933  0.0933  0.7202  0.01

Output
Total moment (μB per atom): 0.032

We find entry x to be the most stable, with the next structure 19.2 kJ/mol of atoms higher.